1.
## CeNd2I8 (GGA-PBE)

Data for crystalline CeNd2I8 at its relaxed geometry.

Output
size of the total moment	2.1	μB per cell
DFT total energy	-3.720	eV per atom
V	38.39	Å³/atom
formation energy from raw total energies	-1.1861	eV per atom

Lattice parameters (Å, degrees): 6.3523 8.6253 8.6253 111.29 99.20 99.20
Last column: nearest neighbours and their distance in Å.
Sites, in units of the cell vectors:
1 Ce 0.5000 0.0000 0.0000  4 I 3.31-3.45
2 Nd 0.0000 0.3161 0.6839  8 I 3.22-3.39
3 Nd 0.0000 0.6839 0.3161  8 I 3.22-3.39
4 I 0.9155 0.9339 0.6748  2 Nd 3.22-3.25
5 I 0.9155 0.6748 0.9339  2 Nd 3.22-3.25
6 I 0.3184 0.6312 0.6312  2 Nd 3.33, 1 Ce 3.45
7 I 0.5000 0.7679 0.2321  1 Ce 3.31, 2 Nd 3.39
8 I 0.5000 0.2321 0.7679  1 Ce 3.31, 2 Nd 3.39
9 I 0.6816 0.3688 0.3688  2 Nd 3.33, 1 Ce 3.45
10 I 0.0845 0.3252 0.0661  2 Nd 3.22-3.25
11 I 0.0845 0.0661 0.3252  2 Nd 3.22-3.25


2.
## Ce2NdIO4 (GGA-PBE)

Data for crystalline Ce2NdIO4 at its relaxed geometry.

Output
size of the total moment	2.0	μB per cell
DFT total energy	-7.811	eV per atom
V	19.60	Å³/atom
formation energy from raw total energies	-3.0590	eV per atom

Lattice parameters (Å, degrees): 4.0734 4.0734 9.4490 90.00 90.00 90.00
Last column: nearest neighbours and their distance in Å.
Sites, in units of the cell vectors:
1 Ce 0.5000 0.5000 0.2593  4 O 2.27
2 Ce 0.5000 0.5000 0.7407  4 O 2.27
3 Nd 0.0000 0.0000 0.0000  8 O 2.50
4 I 0.0000 0.0000 0.5000  8 Ce 3.67, 8 O 3.85, 4 I 4.07
5 O 0.0000 0.5000 0.1543  2 Ce 2.27, 2 Nd 2.50
6 O 0.5000 0.0000 0.8457  2 Ce 2.27, 2 Nd 2.50
7 O 0.5000 0.0000 0.1543  2 Ce 2.27, 2 Nd 2.50
8 O 0.0000 0.5000 0.8457  2 Ce 2.27, 2 Nd 2.50


3.
## CeNdOsI (GGA-PBE)

Data for crystalline CeNdOsI at its relaxed geometry.

Output
size of the total moment	0.2	μB per cell
DFT total energy	-6.463	eV per atom
V	29.97	Å³/atom
formation energy from raw total energies	-0.5923	eV per atom

Lattice parameters (Å, degrees): 4.1307 4.1307 8.4549 90.00 104.14 120.00
Last column: nearest neighbours and their distance in Å.
Sites, in units of the cell vectors:
1 Ce 0.0879 0.9419 0.0451  3 Os 2.71
2 Nd 0.5097 0.1527 0.6777  3 Os 2.92
3 Os 0.3152 0.5555 0.8860  3 Ce 2.71, 3 Nd 2.92
4 I 0.9651 0.3807 0.3608  3 Ce 3.50, 3 Nd 3.51


4.
## CeNdPI (GGA-PBE)

Data for crystalline CeNdPI at its relaxed geometry.

Output
size of the total moment	1.0	μB per cell
DFT total energy	-5.717	eV per atom
V	29.11	Å³/atom
formation energy from raw total energies	-1.3013	eV per atom

Lattice parameters (Å, degrees): 4.1462 4.1462 8.1801 89.99 104.68 120.00
Last column: nearest neighbours and their distance in Å.
Sites, in units of the cell vectors:
1 Ce 0.0998 0.9478 0.0629  3 P 2.83
2 Nd 0.5050 0.1504 0.6706  3 P 2.86
3 P 0.3051 0.5505 0.8709  3 Ce 2.83, 3 Nd 2.86
4 I 0.9680 0.3820 0.3653  3 Ce 3.37, 3 Nd 3.38


5.
## RbCeNdI6 (GGA-PBE)

Data for crystalline RbCeNdI6 at its relaxed geometry.

Output
size of the total moment	4.1	μB per cell
DFT total energy	-3.689	eV per atom
V	52.71	Å³/atom
formation energy from raw total energies	-1.3588	eV per atom

Lattice parameters (Å, degrees): 8.0058 8.0058 17.0948 90.00 90.00 120.00
Last column: nearest neighbours and their distance in Å.
Sites, in units of the cell vectors:
1 Rb 0.0000 0.0000 0.0000  6 I 3.73
2 Rb 0.0000 0.0000 0.5000  6 I 3.73
3 Ce 0.6667 0.3333 0.2500  6 I 3.21
4 Ce 0.3333 0.6667 0.7500  6 I 3.21
5 Nd 0.3333 0.6667 0.2500  6 I 3.17
6 Nd 0.6667 0.3333 0.7500  6 I 3.17
7 I 0.6392 0.6436 0.1395  1 Nd 3.17, 1 Ce 3.21
8 I 0.0043 0.3608 0.1395  1 Nd 3.17, 1 Ce 3.21
9 I 0.3608 0.0043 0.6395  1 Nd 3.17, 1 Ce 3.21
10 I 0.9957 0.6392 0.8605  1 Nd 3.17, 1 Ce 3.21
11 I 0.3564 0.3608 0.3605  1 Nd 3.17, 1 Ce 3.21
12 I 0.0043 0.6436 0.3605  1 Nd 3.17, 1 Ce 3.21
13 I 0.6436 0.0043 0.8605  1 Nd 3.17, 1 Ce 3.21
14 I 0.6392 0.9957 0.3605  1 Nd 3.17, 1 Ce 3.21
15 I 0.9957 0.3564 0.6395  1 Nd 3.17, 1 Ce 3.21
16 I 0.3564 0.9957 0.1395  1 Nd 3.17, 1 Ce 3.21
17 I 0.6436 0.6392 0.6395  1 Nd 3.17, 1 Ce 3.21
18 I 0.3608 0.3564 0.8605  1 Nd 3.17, 1 Ce 3.21


6.
## CeNdRhI (GGA-PBE)

Data for crystalline CeNdRhI at its relaxed geometry.

Output
size of the total moment	0.9	μB per cell
DFT total energy	-5.786	eV per atom
V	30.13	Å³/atom
formation energy from raw total energies	-0.8850	eV per atom

Lattice parameters (Å, degrees): 4.1194 4.1173 8.5419 89.99 103.93 120.01
Last column: nearest neighbours and their distance in Å.
Sites, in units of the cell vectors:
1 Ce 0.0927 0.9446 0.0515  3 Rh 2.77-2.78
2 Nd 0.5086 0.1521 0.6763  3 Rh 2.89-2.90
3 Rh 0.3093 0.5526 0.8775  3 Ce 2.77-2.78, 3 Nd 2.89-2.90
4 I 0.9672 0.3816 0.3643  3 Nd 3.49-3.50, 3 Ce 3.50


7.
## CeNdRuI (GGA-PBE)

Data for crystalline CeNdRuI at its relaxed geometry.

Output
size of the total moment	0.3	μB per cell
DFT total energy	-6.072	eV per atom
V	29.47	Å³/atom
formation energy from raw total energies	-0.6898	eV per atom

Lattice parameters (Å, degrees): 4.0872 4.0857 8.5345 90.01 104.88 119.98
Last column: nearest neighbours and their distance in Å.
Sites, in units of the cell vectors:
1 Ce 0.0599 0.9275 0.0439  3 Ru 2.47-2.77
2 Nd 0.5130 0.1547 0.6712  3 Ru 2.96-2.99
3 Ru 0.3464 0.5714 0.8922  3 Ce 2.47-2.77
4 I 0.9586 0.3772 0.3624  3 Nd 3.45, 3 Ce 3.50-3.52


8.
## CeNdSbI (GGA-PBE)

Data for crystalline CeNdSbI at its relaxed geometry.

Output
size of the total moment	1.9	μB per cell
DFT total energy	-5.012	eV per atom
V	29.52	Å³/atom
formation energy from raw total energies	-0.9187	eV per atom

Lattice parameters (Å, degrees): 5.5069 5.5069 5.5069 60.00 60.00 60.00
Last column: nearest neighbours and their distance in Å.
Sites, in units of the cell vectors:
1 I 0.5000 0.5000 0.5000  4 Nd 3.37, 4 Ce 3.37
2 Sb 0.0000 0.0000 0.0000  4 Ce 3.37, 4 Nd 3.37
3 Nd 0.7500 0.7500 0.7500  4 I 3.37, 4 Sb 3.37
4 Ce 0.2500 0.2500 0.2500  4 I 3.37, 4 Sb 3.37


9.
## CeNdSnI (GGA-PBE)

Data for crystalline CeNdSnI at its relaxed geometry.

Output
size of the total moment	1.8	μB per cell
DFT total energy	-4.761	eV per atom
V	29.91	Å³/atom
formation energy from raw total energies	-0.6974	eV per atom

Lattice parameters (Å, degrees): 5.5306 5.5306 5.5306 60.00 60.00 60.00
Last column: nearest neighbours and their distance in Å.
Sites, in units of the cell vectors:
1 I 0.5000 0.5000 0.5000  4 Ce 3.39, 4 Nd 3.39
2 Nd 0.7500 0.7500 0.7500  4 Sn 3.39, 4 I 3.39
3 Sn 0.0000 0.0000 0.0000  4 Ce 3.39, 4 Nd 3.39
4 Ce 0.2500 0.2500 0.2500  4 I 3.39, 4 Sn 3.39


10.
## CeNiI (GGA-PBE)

Data for crystalline CeNiI at its relaxed geometry.

Output
size of the total moment	2.1	μB per cell
DFT total energy	-5.203	eV per atom
V	29.74	Å³/atom
formation energy from raw total energies	-0.7808	eV per atom

Lattice parameters (Å, degrees): 4.1665 4.1665 12.1116 90.11 99.79 120.02
Last column: nearest neighbours and their distance in Å.
Sites, in units of the cell vectors:
1 Ce 0.9022 0.4496 0.3518  6 Ni 2.90-3.07
2 Ce 0.0978 0.5504 0.6482  6 Ni 2.90-3.07
3 Ni 0.3255 0.1626 0.4881  3 Ni 2.42
4 Ni 0.6745 0.8374 0.5119  3 Ni 2.42
5 I 0.5546 0.2799 0.8345  3 Ce 3.27
6 I 0.4454 0.7201 0.1655  3 Ce 3.27


11.
## Ce7NiI12 (GGA-PBE)

Data for crystalline Ce7NiI12 at its relaxed geometry.

Output
size of the total moment	8.4	μB per cell
DFT total energy	-4.413	eV per atom
V	40.67	Å³/atom
formation energy from raw total energies	-1.1173	eV per atom

Lattice parameters (Å, degrees): 9.9792 9.9792 9.9792 107.62 107.62 107.62
Last column: nearest neighbours and their distance in Å.
Sites, in units of the cell vectors:
1 Ce 0.9664 0.6923 0.8932  1 Ni 2.80
2 Ce 0.3077 0.1068 0.0336  1 Ni 2.80
3 Ce 0.1068 0.0336 0.3077  1 Ni 2.80
4 Ce 0.5000 0.5000 0.5000  6 I 3.20
5 Ce 0.8932 0.9664 0.6923  1 Ni 2.80
6 Ce 0.6923 0.8932 0.9664  1 Ni 2.80
7 Ce 0.0336 0.3077 0.1068  1 Ni 2.80
8 Ni 0.0000 0.0000 0.0000  6 Ce 2.80
9 I 0.9255 0.3186 0.7739  3 Ce 3.21-3.40
10 I 0.6814 0.2261 0.0745  3 Ce 3.21-3.40
11 I 0.4744 0.1530 0.3898  3 Ce 3.20-3.25
12 I 0.8470 0.6102 0.5256  3 Ce 3.20-3.25
13 I 0.2261 0.0745 0.6814  3 Ce 3.21-3.40
14 I 0.6102 0.5256 0.8470  3 Ce 3.20-3.25
15 I 0.3898 0.4744 0.1530  3 Ce 3.20-3.25
16 I 0.7739 0.9255 0.3186  3 Ce 3.21-3.40
17 I 0.1530 0.3898 0.4744  3 Ce 3.20-3.25
18 I 0.5256 0.8470 0.6102  3 Ce 3.20-3.25
19 I 0.3186 0.7739 0.9255  3 Ce 3.21-3.40
20 I 0.0745 0.6814 0.2261  3 Ce 3.21-3.40


> Look up the size of the total moment of the eighth one.

1.9 μB per cell


> Which formula does entry 1 have?

CeNd2I8


Please write out number 3 again, unchanged.
## CeNdOsI (GGA-PBE)

Data for crystalline CeNdOsI at its relaxed geometry.

Output
size of the total moment	0.2	μB per cell
DFT total energy	-6.463	eV per atom
V	29.97	Å³/atom
formation energy from raw total energies	-0.5923	eV per atom

Lattice parameters (Å, degrees): 4.1307 4.1307 8.4549 90.00 104.14 120.00
Last column: nearest neighbours and their distance in Å.
Sites, in units of the cell vectors:
1 Ce 0.0879 0.9419 0.0451  3 Os 2.71
2 Nd 0.5097 0.1527 0.6777  3 Os 2.92
3 Os 0.3152 0.5555 0.8860  3 Ce 2.71, 3 Nd 2.92
4 I 0.9651 0.3807 0.3608  3 Ce 3.50, 3 Nd 3.51